# 1
! Ho2Zn3Cu4, relaxed, DFT GGA-PBE; values from VASP
&SYSTEM
  ibrav = 0, nat = 18, ntyp = 3
/
ATOMIC_SPECIES
Ho 164.93 Ho.upf
Zn 65.41 Zn.upf
Cu 63.55 Cu.upf
CELL_PARAMETERS angstrom
2.667 -7.434 0.000
2.667 7.434 0.000
0.000 0.000 7.585
ATOMIC_POSITIONS angstrom
Ho 2.667 5.805 6.907
Ho 2.667 1.628 3.115
Ho 2.667 -1.628 4.470
Ho 2.667 -5.805 0.678
Zn 0.000 0.000 3.792
Zn 1.333 3.390 5.688
Zn 1.333 -3.390 1.896
Zn 2.667 0.000 0.000
Zn 4.000 3.390 5.688
Zn 4.000 -3.390 1.896
Cu 2.667 4.766 3.934
Cu 1.333 0.897 5.688
Cu 1.333 -0.897 1.896
Cu 2.667 2.667 0.142
Cu 2.667 -2.667 7.442
Cu 4.000 0.897 5.688
Cu 4.000 -0.897 1.896
Cu 2.667 -4.766 3.650
! - formation enthalpy at 0 K (eV/f.u.) = -2.1
! - DFT total energy (eV/atom) = -3.50


# 2
! Ce2Ho2Th15, relaxed, DFT GGA-PBE; values from VASP
&SYSTEM
  ibrav = 0, nat = 19, ntyp = 3
/
ATOMIC_SPECIES
Ce 140.12 Ce.upf
Ho 164.93 Ho.upf
Th 232.04 Th.upf
CELL_PARAMETERS angstrom
5.675 3.276 5.780
-5.675 3.276 5.780
0.000 -6.553 5.780
ATOMIC_POSITIONS angstrom
Ce 0.000 0.000 1.430
Ce 0.000 0.000 15.910
Ho 0.000 0.000 5.342
Ho 0.000 0.000 11.998
Th -5.675 0.000 8.670
Th -1.744 -3.532 5.780
Th -2.837 1.638 2.890
Th -3.931 0.256 5.780
Th -2.815 -1.625 8.421
Th 1.744 -3.532 5.780
Th -2.187 3.276 5.780
Th 0.000 -3.250 8.919
Th -2.815 1.625 8.919
Th 2.837 1.638 2.890
Th 2.815 -1.625 8.421
Th 0.000 3.250 8.421
Th 3.931 0.256 5.780
Th 2.187 3.276 5.780
Th 2.815 1.625 8.919
! - formation enthalpy at 0 K (eV/f.u.) = 5.8
! - DFT total energy (eV/atom) = -6.66


# 3
! Zr2Tc2Ge, relaxed, DFT GGA-PBE; values from VASP
&SYSTEM
  ibrav = 0, nat = 10, ntyp = 3
/
ATOMIC_SPECIES
Zr 91.22 Zr.upf
Tc 98.00 Tc.upf
Ge 72.64 Ge.upf
CELL_PARAMETERS angstrom
6.516 0.000 0.000
0.000 6.516 0.000
0.000 0.000 4.358
ATOMIC_POSITIONS angstrom
Zr 1.192 2.066 0.000
Zr 2.066 5.324 0.000
Zr 4.449 1.192 0.000
Zr 5.324 4.449 0.000
Tc 0.869 4.127 2.179
Tc 2.389 0.869 2.179
Tc 4.127 5.647 2.179
Tc 5.647 2.389 2.179
Ge 0.000 0.000 2.179
Ge 3.258 3.258 2.179
! - formation enthalpy at 0 K (eV/f.u.) = -1.1
! - DFT total energy (eV/atom) = -8.71